DFT (GGA+U) results for an optimized crystal structure of Al2W2O7.

Lattice parameters (Å, degrees): 6.688 6.672 6.718 66.82 66.66 66.50
Site moments in Bohr magnetons follow the coordinates.
Atoms (fractional coordinates):
O 0.370 0.838 0.926  0.01
O 0.819 0.823 0.997  -0.01
O 0.986 0.321 0.330  0.01
O 0.669 0.508 0.184  0.00
O 0.657 0.601 0.619  0.00
O 0.626 0.116 0.629  0.02
O 0.014 0.679 0.670  0.01
O 0.078 0.124 0.664  0.00
O 0.630 0.162 0.074  0.01
O 0.331 0.492 0.816  0.00
O 0.343 0.399 0.381  0.00
O 0.374 0.884 0.371  0.02
O 0.922 0.876 0.336  0.00
O 0.181 0.177 0.003  -0.01
Al 0.500 0.000 0.000  0.01
Al 0.500 0.500 0.500  0.01
Al 0.500 0.000 0.500  0.01
Al 0.000 0.000 0.500  0.01
W 0.000 0.500 0.500  1.81
W 0.000 0.500 0.000  0.28
W 0.000 0.000 0.000  1.78
W 0.500 0.500 0.000  1.80

Values from the calculation:
Energy relative to the lowest polymorph listed for this composition ... 0.1964 eV per atom
Mass density ... 7313 kg/m³
Crystal system ... triclinic